First-principles (SCAN) data for a PBEsol-optimized structure of V4O5F7, as listed in Alexandria.

Calculated values
Polymorph energy (0 for the lowest one) = 12 meV/atom
Formation energy without anion corrections = -2.88 eV per atom

```
data_V4O5F7
_space_group_name_H-M_alt 'C 1 2 1'
_space_group_IT_number 5
_cell_length_a 9.029
_cell_length_b 5.183
_cell_length_c 9.084
_cell_angle_alpha 90.00
_cell_angle_beta 109.22
_cell_angle_gamma 90.00
loop_
_space_group_symop_operation_xyz
'x,y,z'
'-x,y,-z'
'x+1/2,y+1/2,z'
'-x+1/2,y+1/2,-z'
loop_
_atom_site_label
_atom_site_type_symbol
_atom_site_fract_x
_atom_site_fract_y
_atom_site_fract_z
_atom_site_occupancy
V1 V 0.106 0.000 0.370 1
V2 V 0.139 0.553 0.888 1
O1 O 0.000 0.970 0.500 1
O2 O 0.017 0.771 0.243 1
O3 O 0.230 0.796 0.009 1
F1 F 0.000 0.456 0.000 1
F2 F 0.021 0.272 0.738 1
F3 F 0.224 0.309 0.508 1
F4 F 0.247 0.102 0.254 1
```

First-principles (SCAN) data for a PBEsol-optimized structure of VOF3, as listed in Alexandria.

Calculated values
Formation energy without anion corrections = -2.79 eV per atom

```
data_VOF3
_space_group_name_H-M_alt 'P 21 21 21'
_space_group_IT_number 19
_cell_length_a 4.942
_cell_length_b 5.514
_cell_length_c 9.211
_cell_angle_alpha 90.00
_cell_angle_beta 90.00
_cell_angle_gamma 90.00
loop_
_space_group_symop_operation_xyz
'x,y,z'
'-x+1/2,-y,z+1/2'
'x+1/2,-y+1/2,-z'
'-x,y+1/2,-z+1/2'
loop_
_atom_site_label
_atom_site_type_symbol
_atom_site_fract_x
_atom_site_fract_y
_atom_site_fract_z
_atom_site_occupancy
V1 V 0.137 0.071 0.143 1
O1 O 0.016 0.393 0.245 1
F1 F 0.065 0.858 0.734 1
F2 F 0.128 0.663 0.478 1
F3 F 0.224 0.134 0.524 1
```